The following is a DFT calculation (PBE-GGA) of a relaxed ZrSbOs crystal.

a b c (Å): 3.281 3.281 6.679
angles (deg): 90.00 90.00 120.00
Fractional coordinates of all 3 atoms:
Zr: 0.000 0.000 0.000
Sb: 0.333 0.667 0.616
Os: 0.667 0.333 0.279

Summary:
Density of states at the Fermi level, states/eV/cell: 2.9
SG: P3m1, No. 156
Formation energy (no corrections), eV per atom: 0.170
Crystal system: trigonal
VASP energy, eV per atom: -7.80